[1]
First-principles (PBE) data for crystalline RbAg2SbCl6 at its relaxed geometry, as listed in Alexandria.

a b c (Å): 7.2757 7.2757 19.3659
angles (deg): 90.00 90.00 120.00
Closest atoms and distances in Å follow each position.
Space group R3 (No. 146, hexagonal axes)
Inequivalent atoms, fractional coordinates:
Rb1 0.0000 0.0000 0.0000 (multiplicity 3)  6 Cl 3.25-3.40
Ag1 0.0000 0.0000 0.1989 (multiplicity 3)  6 Cl 2.78-2.82
Ag2 0.0000 0.0000 0.7381 (multiplicity 3)  3 Cl 2.64
Sb1 0.0000 0.0000 0.5306 (multiplicity 3)  6 Cl 2.58-2.84
Cl1 0.0081 0.3363 0.7921 (multiplicity 9)  2 Ag 2.64-2.78, 1 Sb 2.84
Cl2 0.1038 0.7443 0.2807 (multiplicity 9)  1 Sb 2.58, 1 Ag 2.82

Calculated values
The calculation puts the magnetic moment at 0.000 μB/atom. The value obtained for the raw total energy is -3.1052 eV/atom. Its density of states at the Fermi level is 0.000 states/eV/f.u.

=====

[2]
First-principles (PBE) data for crystalline RbAgSbCl6 at its relaxed geometry, as listed in Alexandria.

a b c (Å): 7.0439 7.0439 7.1289
angles (deg): 90.00 90.00 120.00
Closest atoms and distances in Å follow each position.
Space group P312 (No. 149)
Inequivalent atoms, fractional coordinates:
Rb1 0.0000 0.0000 0.0000 (multiplicity 1)  6 Cl 3.36
Ag1 0.3333 0.6667 0.5000 (multiplicity 1)  6 Cl 2.79
Sb1 0.6667 0.3333 0.5000 (multiplicity 1)  6 Cl 2.56
Cl1 0.3847 0.0248 0.7072 (multiplicity 6)  1 Sb 2.56, 1 Ag 2.79

Calculated values
The calculation puts the magnetic moment at 0.063 μB/atom. The value obtained for the raw total energy is -3.0649 eV/atom. Its density of states at the Fermi level is 5.330 states/eV/f.u.

=====

[3]
First-principles (PBE) data for crystalline Rb2ScAgCl6 at its relaxed geometry, as listed in Alexandria.

a b c (Å): 10.4800 10.4800 10.4800
angles (deg): 90.00 90.00 90.00
Closest atoms and distances in Å follow each position.
Space group Fm-3m (No. 225)
Inequivalent atoms, fractional coordinates:
Rb1 0.2500 0.2500 0.2500 (multiplicity 8)  12 Cl 3.71
Sc1 0.0000 0.0000 0.0000 (multiplicity 4)  6 Cl 2.50
Ag1 0.0000 0.0000 0.5000 (multiplicity 4)  6 Cl 2.74
Cl1 0.0000 0.0000 0.2386 (multiplicity 24)  1 Sc 2.50, 1 Ag 2.74

Calculated values
The calculation puts the magnetic moment at 0.000 μB/atom. The value obtained for the raw total energy is -3.9744 eV/atom. Its density of states at the Fermi level is 0.000 states/eV/f.u.

=====

[4]
First-principles (PBE) data for crystalline RbScAg2Cl6 at its relaxed geometry, as listed in Alexandria.

a b c (Å): 7.0591 7.0591 19.2315
angles (deg): 90.00 90.00 120.00
Closest atoms and distances in Å follow each position.
Space group R3 (No. 146, hexagonal axes)
Inequivalent atoms, fractional coordinates:
Rb1 0.0000 0.0000 0.0000 (multiplicity 3)  6 Cl 3.17-3.42
Sc1 0.0000 0.0000 0.4751 (multiplicity 3)  6 Cl 2.51-2.54
Ag1 0.0000 0.0000 0.2780 (multiplicity 3)  6 Cl 2.73-2.95
Ag2 0.0000 0.0000 0.8020 (multiplicity 3)  6 Cl 2.71-2.91
Cl1 0.0278 0.5953 0.0597 (multiplicity 9)  1 Sc 2.51, 1 Ag 2.71
Cl2 0.0341 0.3584 0.2122 (multiplicity 9)  1 Sc 2.54, 1 Ag 2.73

Calculated values
The calculation puts the magnetic moment at 0.000 μB/atom. The value obtained for the raw total energy is -3.8109 eV/atom. Its density of states at the Fermi level is 0.000 states/eV/f.u.

=====

[5]
First-principles (PBE) data for crystalline RbSc2AgCl8 at its relaxed geometry, as listed in Alexandria.

a b c (Å): 6.7557 6.7557 28.4754
angles (deg): 90.00 90.00 120.00
Closest atoms and distances in Å follow each position.
Space group R-3 (No. 148, hexagonal axes)
Inequivalent atoms, fractional coordinates:
Rb1 0.0000 0.0000 0.0000 (multiplicity 3)  12 Cl 3.81-3.91
Sc1 0.0000 0.0000 0.2446 (multiplicity 6)  4 Cl 2.34-2.36
Ag1 0.0000 0.0000 0.5000 (multiplicity 3)  6 Cl 2.80
Cl1 0.0000 0.0000 0.3266 (multiplicity 6)  1 Sc 2.34
Cl2 0.0013 0.3259 0.1094 (multiplicity 18)  1 Sc 2.36

Calculated values
The calculation puts the magnetic moment at 0.000 μB/atom. The value obtained for the raw total energy is -4.3508 eV/atom. Its density of states at the Fermi level is 0.000 states/eV/f.u.

=====

[6]
First-principles (PBE) data for crystalline RbAgSeCl6 at its relaxed geometry, as listed in Alexandria.

a b c (Å): 6.9044 6.9246 7.0682
angles (deg): 90.36 90.73 118.98
Closest atoms and distances in Å follow each position.
Space group P1 (No. 1)
Inequivalent atoms, fractional coordinates:
Rb1 0.0000 0.0000 0.0000 (multiplicity 1)  6 Cl 3.34-3.37
Ag1 0.3300 0.6727 0.4999 (multiplicity 1)  6 Cl 2.72-2.86
Se1 0.6639 0.3382 0.5001 (multiplicity 1)  6 Cl 2.42-2.46
Cl1 0.3859 0.0435 0.6909 (multiplicity 1)  1 Se 2.44
Cl2 0.3890 0.3659 0.2945 (multiplicity 1)  1 Se 2.46
Cl3 0.6359 0.6139 0.7029 (multiplicity 1)  1 Se 2.46, 1 Ag 2.73
Cl4 0.6490 0.0469 0.2987 (multiplicity 1)  1 Se 2.42
Cl5 0.9567 0.3555 0.7045 (multiplicity 1)  1 Se 2.42
Cl6 0.9610 0.6163 0.3089 (multiplicity 1)  1 Se 2.45, 1 Ag 2.72

Calculated values
The calculation puts the magnetic moment at 0.000 μB/atom. The value obtained for the raw total energy is -2.7665 eV/atom. Its density of states at the Fermi level is 0.000 states/eV/f.u.